No. 1
The following is a GGA-PBE calculation of a geometry-optimized U4Ir12Pt structure, from Alexandria.

## Properties
DFT total energy: -0.353 hartree per atom
energy of formation: -33 kJ per mole of atoms

Lattice parameters (Å, degrees): 7.257 7.257 7.257 109.47 109.47 109.47
Atoms (fractional coordinates):
Ir (0.750, 0.250, 0.500)
Ir (0.500, 0.750, 0.250)
Ir (0.000, 0.302, 0.302)
Ir (0.250, 0.500, 0.750)
Ir (0.250, 0.750, 0.500)
Ir (0.698, 0.000, 0.698)
Ir (0.698, 0.698, 0.000)
Ir (0.750, 0.500, 0.250)
Ir (0.500, 0.250, 0.750)
Ir (0.000, 0.698, 0.698)
Ir (0.302, 0.000, 0.302)
Ir (0.302, 0.302, 0.000)
Pt (0.000, 0.000, 0.000)
U (0.500, 0.500, 0.500)
U (0.500, 0.000, 0.000)
U (0.000, 0.000, 0.500)
U (0.000, 0.500, 0.000)

=====

No. 2
The following is a GGA-PBE calculation of a geometry-optimized CaY2In structure, from Alexandria.

## Properties
DFT total energy: -0.171 hartree per atom
energy of formation: -23 kJ per mole of atoms

Lattice parameters (Å, degrees): 6.809 6.809 5.519 66.16 66.16 32.59
Atoms (fractional coordinates):
Y (0.966, 0.966, 0.034)
Y (0.534, 0.534, 0.466)
In (0.250, 0.250, 0.250)
Ca (0.750, 0.750, 0.750)